Entry 1:
ScFeRe2 | PBE-GGA | relaxed

Energy above the most stable polymorph in this dataset (meV per atom): 62
Energy of formation from the pure elements (eV per atom): 0.0208
Density (Mg/m³): 12.910
Crystal system: orthorhombic
Fermi-level density of states (states/eV/f.u.): 2.97

Structure (POSCAR):
```
ScFeRe2
1.0
-2.018 -4.800 -0.731
3.193 -4.162 0.372
-2.008 4.204 2.437
Fe Re Sc
1 2 1
Direct
0.250 0.750 0.500
0.015 0.015 0.000
0.485 0.485 0.000
0.750 0.250 0.500
```

---

Entry 2:
ScFe2Re | PBE-GGA | relaxed

Energy of formation from the pure elements (eV per atom): 0.1062
Density (Mg/m³): 10.067
Crystal system: monoclinic
Fermi-level density of states (states/eV/f.u.): 4.04

Structure (POSCAR):
```
ScFe2Re
1.0
4.899 0.006 0.000
-1.969 4.485 0.000
0.405 0.622 2.573
Fe Re Sc
2 1 1
Direct
0.000 0.000 0.000
0.500 0.500 0.000
0.500 0.000 0.500
0.000 0.500 0.500
```

---

Entry 3:
Sc2FeRe | PBE-GGA | relaxed

Energy above the most stable polymorph in this dataset (meV per atom): 559
Energy of formation from the pure elements (eV per atom): 0.5273
Density (Mg/m³): 7.868
Crystal system: tetragonal
Fermi-level density of states (states/eV/f.u.): 5.69

Structure (POSCAR):
```
Sc2FeRe
1.0
-2.641 -4.805 4.563
6.582 -1.337 2.402
1.676 -1.102 5.385
Sc Re Fe
4 2 2
Direct
0.605 0.125 0.250
0.145 0.625 0.250
0.375 0.395 0.750
0.875 0.855 0.750
0.000 0.000 0.000
0.750 0.250 0.500
0.500 0.500 0.000
0.250 0.750 0.500
```

---

Entry 4:
ScFeRe2 | PBE-GGA | relaxed

Energy above the most stable polymorph in this dataset (meV per atom): 117
Energy of formation from the pure elements (eV per atom): 0.0757
Density (Mg/m³): 12.945
Crystal system: monoclinic
Fermi-level density of states (states/eV/f.u.): 3.15

Structure (POSCAR):
```
ScFeRe2
1.0
5.070 -0.022 -0.071
-2.295 4.686 0.010
0.479 0.774 2.550
Fe Re Sc
1 2 1
Direct
0.500 0.500 0.000
0.000 0.000 0.000
0.500 0.000 0.500
0.000 0.500 0.500
```

---

Entry 5:
Sc2FeRe | PBE-GGA | relaxed

Energy above the most stable polymorph in this dataset (meV per atom): 274
Energy of formation from the pure elements (eV per atom): 0.2423
Density (Mg/m³): 8.018
Crystal system: orthorhombic
Fermi-level density of states (states/eV/f.u.): 4.96

Structure (POSCAR):
```
Sc2FeRe
1.0
-1.747 -1.145 -1.862
-2.770 -1.152 3.308
-2.613 4.814 -0.510
Fe Re Sc
1 1 2
Direct
0.000 0.000 0.497
0.500 0.500 0.758
0.000 0.000 0.970
0.500 0.500 0.276
```

---

Entry 6:
ScFeReTc | PBE-GGA | relaxed

Energy of formation from the pure elements (eV per atom): -0.0745
Density (Mg/m³): 10.808
Crystal system: cubic
Fermi-level density of states (states/eV/f.u.): 3.58

Structure (POSCAR):
```
ScFeReTc
1.0
4.374 0.000 0.000
2.187 3.788 0.000
2.187 1.263 3.571
Sc Re Tc Fe
1 1 1 1
Direct
0.000 0.000 0.000
0.500 0.500 0.500
0.250 0.250 0.250
0.750 0.750 0.750
```